(1)
{
  "formula": "CsTcSbH2",
  "functional": "PBE",
  "state": "relaxed",
  "vol_a3_per_atom": 23.45,
  "lattice": [[7.388, 0.000, -0.181], [0.000, 4.412, 0.000], [-2.478, 0.000, 7.255]],
  "species": ["Cs", "Cs", "Tc", "Tc", "Sb", "Sb", "H", "H", "H", "H"],
  "frac_coords": [[0.674, 0.000, 0.009], [0.674, 0.500, 0.509], [0.157, 0.000, 0.503], [0.157, 0.500, 0.003], [0.136, 0.000, 0.828], [0.136, 0.500, 0.328], [0.413, 0.000, 0.588], [0.413, 0.500, 0.088], [0.904, 0.000, 0.418], [0.904, 0.500, 0.918]]
}

***

(2)
{
  "formula": "CsTcSbH2",
  "functional": "PBE",
  "state": "relaxed",
  "vol_a3_per_atom": 22.76,
  "lattice": [[4.294, 0.000, 0.000], [0.000, 6.701, 0.000], [-2.126, 0.000, 3.955]],
  "species": ["Cs", "Tc", "Sb", "H", "H"],
  "frac_coords": [[0.709, 0.500, 0.504], [0.041, 0.000, 0.164], [0.367, 0.000, 0.812], [0.039, 0.737, 0.162], [0.039, 0.263, 0.162]]
}

***

(3)
{
  "formula": "CsTcSbH2",
  "functional": "PBE",
  "state": "relaxed",
  "vol_a3_per_atom": 17.58,
  "lattice": [[-2.478, -0.006, 2.261], [-2.168, -0.941, -2.379], [2.979, -15.001, 3.221]],
  "species": ["Cs", "Cs", "Tc", "Tc", "Sb", "Sb", "H", "H", "H", "H"],
  "frac_coords": [[0.000, 0.000, 0.198], [0.500, 0.500, 0.698], [0.000, 0.000, 0.905], [0.500, 0.500, 0.405], [0.000, 0.000, 0.501], [0.500, 0.500, 0.001], [0.000, 0.500, 0.350], [0.500, 0.000, 0.350], [0.500, 0.000, 0.850], [0.000, 0.500, 0.850]]
}

***

(4)
{
  "formula": "CsTcSbH2",
  "functional": "PBE",
  "state": "relaxed",
  "vol_a3_per_atom": 23.56,
  "lattice": [[-2.331, -0.095, 3.803], [0.529, -3.744, -2.420], [6.095, -1.042, 2.944]],
  "species": ["Cs", "Tc", "Sb", "H", "H"],
  "frac_coords": [[0.342, 0.776, 0.628], [0.565, 0.387, 0.087], [0.900, 0.054, 0.165], [0.748, 0.478, 0.879], [0.273, 0.242, 0.892]]
}

***

Energy relative to the most stable one, in eV/atom: (1) 0.058; (2) 0.036; (3) 0.000; (4) 0.075

***

(1)
{
  "formula": "CsTcSbH2",
  "functional": "PBE",
  "state": "relaxed",
  "vol_a3_per_atom": 21.06,
  "lattice": [[-1.790, 0.384, 2.887], [-0.002, -4.233, 2.587], [5.681, 0.961, 3.402]],
  "species": ["Cs", "Tc", "Sb", "H", "H"],
  "frac_coords": [[0.670, 0.280, 0.389], [0.324, 0.976, 0.923], [0.035, 0.552, 0.880], [0.357, 0.906, 0.173], [0.766, 0.090, 0.983]]
}

***

(2)
{
  "formula": "CsTcSbH2",
  "functional": "PBE",
  "state": "relaxed",
  "vol_a3_per_atom": 21.27,
  "lattice": [[3.384, 0.000, 0.000], [1.690, 4.651, -0.015], [1.686, 1.935, 6.753]],
  "species": ["Cs", "Tc", "Sb", "H", "H"],
  "frac_coords": [[0.407, 0.254, 0.402], [0.847, 0.858, 0.922], [0.580, 0.443, 0.870], [0.263, 0.962, 0.986], [0.771, 0.765, 0.168]]
}

***

Energy relative to the most stable one, in eV/atom: (1) 0.000; (2) 0.025

***

(1)
{
  "formula": "CsTcSbH2",
  "functional": "PBE",
  "state": "relaxed",
  "vol_a3_per_atom": 18.76,
  "lattice": [[-0.358, -3.281, 0.625], [0.037, -0.696, -3.632], [15.364, 1.695, -0.169]],
  "species": ["Cs", "Cs", "Tc", "Tc", "Sb", "Sb", "H", "H", "H", "H"],
  "frac_coords": [[0.765, 0.000, 0.262], [0.765, 0.500, 0.762], [0.048, 0.000, 0.548], [0.048, 0.500, 0.048], [0.466, 0.000, 0.965], [0.466, 0.500, 0.465], [0.940, 0.000, 0.440], [0.940, 0.500, 0.940], [0.610, 0.000, 0.611], [0.610, 0.500, 0.111]]
}

***

(2)
{
  "formula": "CsTcSbH2",
  "functional": "PBE",
  "state": "relaxed",
  "vol_a3_per_atom": 19.02,
  "lattice": [[3.595, 0.000, 0.000], [0.000, 3.595, 0.000], [0.000, 0.000, 14.716]],
  "species": ["Cs", "Cs", "Tc", "Tc", "Sb", "Sb", "H", "H", "H", "H"],
  "frac_coords": [[0.000, 0.000, 0.806], [0.500, 0.500, 0.306], [0.000, 0.000, 0.093], [0.500, 0.500, 0.593], [0.000, 0.000, 0.532], [0.500, 0.500, 0.032], [0.000, 0.000, 0.406], [0.500, 0.500, 0.906], [0.000, 0.000, 0.207], [0.500, 0.500, 0.707]]
}

***

Energy relative to the most stable one, in eV/atom: (1) 0.000; (2) 0.029

***

(1)
{
  "formula": "CsTcSbH2",
  "functional": "PBE",
  "state": "relaxed",
  "vol_a3_per_atom": 18.38,
  "lattice": [[-3.404, -1.373, 0.033], [0.489, -1.288, -3.076], [5.123, -12.556, 6.071]],
  "species": ["Cs", "Cs", "Tc", "Tc", "Sb", "Sb", "H", "H", "H", "H"],
  "frac_coords": [[0.000, 0.000, 0.211], [0.500, 0.500, 0.711], [0.000, 0.000, 0.918], [0.500, 0.500, 0.418], [0.000, 0.000, 0.503], [0.500, 0.500, 0.003], [0.000, 0.500, 0.869], [0.500, 0.000, 0.369], [0.000, 0.000, 0.805], [0.500, 0.500, 0.305]]
}

***

(2)
{
  "formula": "CsTcSbH2",
  "functional": "PBE",
  "state": "relaxed",
  "vol_a3_per_atom": 19.48,
  "lattice": [[4.002, 0.000, 0.002], [0.000, 3.419, 0.000], [-0.034, 0.000, 7.117]],
  "species": ["Cs", "Tc", "Sb", "H", "H"],
  "frac_coords": [[0.123, 0.500, 0.382], [0.128, 0.500, 0.956], [0.628, 0.000, 0.872], [0.128, 0.500, 0.731], [0.625, 0.000, 0.604]]
}

***

(3)
{
  "formula": "CsTcSbH2",
  "functional": "PBE",
  "state": "relaxed",
  "vol_a3_per_atom": 18.66,
  "lattice": [[3.306, 0.000, 0.000], [0.000, 3.681, 0.000], [-3.184, 0.000, 15.337]],
  "species": ["Cs", "Cs", "Tc", "Tc", "Sb", "Sb", "H", "H", "H", "H"],
  "frac_coords": [[0.875, 0.000, 0.820], [0.875, 0.500, 0.320], [0.598, 0.000, 0.532], [0.598, 0.500, 0.032], [0.165, 0.000, 0.101], [0.165, 0.500, 0.601], [0.036, 0.000, 0.466], [0.036, 0.500, 0.966], [0.282, 0.000, 0.223], [0.282, 0.500, 0.723]]
}

***

Energy relative to the most stable one, in eV/atom: (1) 0.000; (2) 0.223; (3) 0.184

***

(1)
{
  "formula": "CsSb2TeH",
  "functional": "PBE",
  "state": "relaxed",
  "vol_a3_per_atom": 27.19,
  "lattice": [[-1.479, 2.348, -4.151], [-0.870, -4.406, -2.182], [-5.120, 0.084, 1.872]],
  "species": ["Cs", "Sb", "Sb", "Te", "H"],
  "frac_coords": [[0.500, 0.500, 0.500], [0.000, 0.500, 0.000], [0.500, 0.000, 0.000], [0.000, 0.000, 0.500], [0.000, 0.000, 0.000]]
}

***

(2)
{
  "formula": "CsSb2TeH",
  "functional": "PBE",
  "state": "relaxed",
  "vol_a3_per_atom": 59.20,
  "lattice": [[6.637, 0.000, 0.000], [0.000, 6.637, 0.000], [0.000, 0.000, 6.719]],
  "species": ["Cs", "Sb", "Sb", "Te", "H"],
  "frac_coords": [[0.000, 0.000, 0.000], [0.000, 0.500, 0.000], [0.500, 0.000, 0.000], [0.000, 0.000, 0.500], [0.500, 0.500, 0.500]]
}

***

Energy relative to the most stable one, in eV/atom: (1) 0.000; (2) 1.346

***

(1)
{
  "formula": "CsSbTe2H",
  "functional": "PBE",
  "state": "relaxed",
  "vol_a3_per_atom": 63.82,
  "lattice": [[6.935, 0.000, 0.000], [0.000, 6.935, 0.000], [0.000, 0.000, 6.635]],
  "species": ["Cs", "Sb", "Te", "Te", "H"],
  "frac_coords": [[0.000, 0.000, 0.000], [0.000, 0.000, 0.500], [0.000, 0.500, 0.000], [0.500, 0.000, 0.000], [0.500, 0.500, 0.500]]
}

***

(2)
{
  "formula": "CsSbTe2H",
  "functional": "PBE",
  "state": "relaxed",
  "vol_a3_per_atom": 28.47,
  "lattice": [[-5.166, 2.295, 0.675], [-1.376, -4.165, 3.629], [1.510, 2.415, 3.344]],
  "species": ["Cs", "Sb", "Te", "Te", "H"],
  "frac_coords": [[0.500, 0.500, 0.500], [0.000, 0.000, 0.500], [0.000, 0.500, 0.000], [0.500, 0.000, 0.000], [0.000, 0.000, 0.000]]
}

***

Energy relative to the most stable one, in eV/atom: (1) 1.283; (2) 0.000

***

(1)
{
  "formula": "Cs3HSe",
  "functional": "PBE",
  "state": "relaxed",
  "vol_a3_per_atom": 41.33,
  "lattice": [[5.025, -0.001, 0.000], [0.002, 8.005, 0.000], [0.000, 0.000, 10.274]],
  "species": ["Cs", "Cs", "Cs", "Cs", "Cs", "Cs", "H", "H", "Se", "Se"],
  "frac_coords": [[0.750, 0.750, 0.063], [0.250, 0.250, 0.937], [0.750, 0.989, 0.657], [0.750, 0.511, 0.657], [0.250, 0.011, 0.343], [0.250, 0.489, 0.343], [0.750, 0.750, 0.411], [0.250, 0.250, 0.589], [0.750, 0.250, 0.173], [0.250, 0.750, 0.827]]
}

***

(2)
{
  "formula": "Cs3HSe",
  "functional": "PBE",
  "state": "relaxed",
  "vol_a3_per_atom": 44.54,
  "lattice": [[5.030, -0.003, 0.003], [-2.519, 8.527, -0.013], [0.006, -0.422, 10.387]],
  "species": ["Cs", "Cs", "Cs", "Cs", "Cs", "Cs", "H", "H", "Se", "Se"],
  "frac_coords": [[0.063, 0.158, 0.374], [0.375, 0.783, 0.658], [0.669, 0.371, 0.763], [0.981, 0.996, 0.047], [0.275, 0.583, 0.048], [0.769, 0.571, 0.373], [0.195, 0.423, 0.601], [0.849, 0.731, 0.820], [0.411, 0.853, 0.328], [0.633, 0.301, 0.094]]
}

***

Energy relative to the most stable one, in eV/atom: (1) 0.000; (2) 0.019

***

(1)
{
  "formula": "Cs3H4Se",
  "functional": "PBE",
  "state": "relaxed",
  "vol_a3_per_atom": 33.10,
  "lattice": [[4.401, 0.000, 0.891], [-0.448, 7.096, 2.217], [0.483, 1.121, 8.941]],
  "species": ["Cs", "Cs", "Cs", "H", "H", "H", "H", "Se"],
  "frac_coords": [[0.772, 0.771, 0.456], [0.164, 0.164, 0.672], [0.022, 0.523, 0.955], [0.614, 0.387, 0.773], [0.415, 0.769, 0.169], [0.415, 0.060, 0.170], [0.613, 0.841, 0.773], [0.485, 0.984, 0.031]]
}

***

(2)
{
  "formula": "Cs3H4Se",
  "functional": "PBE",
  "state": "relaxed",
  "vol_a3_per_atom": 35.72,
  "lattice": [[-1.026, -2.384, 3.910], [3.036, -4.761, -2.106], [7.470, 6.994, 3.408]],
  "species": ["Cs", "Cs", "Cs", "H", "H", "H", "H", "Se"],
  "frac_coords": [[0.000, 0.500, 0.000], [0.139, 0.137, 0.278], [0.861, 0.863, 0.722], [0.383, 0.304, 0.766], [0.617, 0.696, 0.234], [0.589, 0.759, 0.178], [0.411, 0.241, 0.822], [0.500, 0.000, 0.000]]
}

***

Energy relative to the most stable one, in eV/atom: (1) 0.316; (2) 0.000